The following is a DFT calculation (PBE) of a relaxed PmTh5P6 crystal.

Properties
- E (eV for the cell shown) = -93.02
- ΔH_f (0 K) (eV per formula unit) = -18.7
- space-group type = C2/m (12)

a b c (Å): 7.172 7.169 7.170
angles (deg): 60.01 80.41 70.53
Sites, in units of the cell vectors:
P  0.750  0.418  0.666
P  0.250  0.251  0.000
Th  0.500  0.166  0.668
Th  0.500  0.500  0.000
P  0.250  0.917  0.666
P  0.750  0.083  0.334
Th  0.500  0.834  0.332
P  0.750  0.749  0.000
Th  0.000  0.666  0.667
P  0.250  0.582  0.334
Pm  0.000  0.000  0.000
Th  0.000  0.334  0.333